(1)
Material: Ba4YSc
Method: DFT, PBE-GGA
State: optimized geometry

Cell: 10.4366 10.4366 10.4366 Å, 90.00 90.00 90.00°
Space group F-43m (No. 216)
Inequivalent atoms, fractional coordinates:
Ba (0.1247, 0.1247, 0.1247) (multiplicity 16)
Y (0.0000, 0.0000, 0.5000) (multiplicity 4)
Sc (0.2500, 0.2500, 0.7500) (multiplicity 4)

Properties
Formation energy from the elements: 0.610 eV per atom

---

(2)
Material: La2HoHg4
Method: DFT, PBE-GGA
State: optimized geometry

Cell: 5.6215 5.6215 15.9377 Å, 90.00 90.00 90.00°
Space group I4/mmm (No. 139)
Inequivalent atoms, fractional coordinates:
La (0.0000, 0.0000, 0.1113) (multiplicity 4)
Ho (0.0000, 0.0000, 0.5000) (multiplicity 2)
Hg (0.0000, 0.0000, 0.3123) (multiplicity 4)
Hg (0.0000, 0.5000, 0.0000) (multiplicity 4)

Properties
ΔE to the lowest computed polymorph: 0.269 eV/atom
Formation energy from the elements: -0.101 eV per atom

---

(3)
Material: Ac6HIr3
Method: DFT, PBE-GGA
State: optimized geometry

Cell: 7.2299 7.7724 12.6812 Å, 90.00 120.27 90.00°
Space group P2_1/c (No. 14)
Inequivalent atoms, fractional coordinates:
Ac (0.0806, 0.0590, 0.2479) (multiplicity 4)
Ac (0.2681, 0.6784, 0.0856) (multiplicity 4)
Ac (0.3946, 0.1829, 0.0654) (multiplicity 4)
H (0.5000, 0.0000, 0.5000) (multiplicity 2)
Ir (0.0000, 0.0000, 0.0000) (multiplicity 2)
Ir (0.3289, 0.1109, 0.7796) (multiplicity 4)

---

(4)
Material: AcPuZn2
Method: DFT, PBE-GGA
State: optimized geometry

Cell: 3.6952 3.6952 28.6937 Å, 90.00 90.00 120.00°
Space group R-3m (No. 166, hexagonal axes)
Inequivalent atoms, fractional coordinates:
Ac (0.0000, 0.0000, 0.0000) (multiplicity 3)
Pu (0.0000, 0.0000, 0.5000) (multiplicity 3)
Zn (0.0000, 0.0000, 0.2451) (multiplicity 6)

Properties
ΔE to the lowest computed polymorph: 0.243 eV/atom
Formation energy from the elements: 0.132 eV per atom

---

(5)
Material: SiAgOs2Ru
Method: DFT, PBE-GGA
State: optimized geometry

Cell: 4.4191 4.4191 4.3877 Å, 90.00 90.00 90.00°
Space group P4/mmm (No. 123)
Inequivalent atoms, fractional coordinates:
Si (0.0000, 0.0000, 0.0000) (multiplicity 1)
Ag (0.5000, 0.5000, 0.5000) (multiplicity 1)
Os (0.0000, 0.5000, 0.0000) (multiplicity 2)
Ru (0.0000, 0.0000, 0.5000) (multiplicity 1)

---

(6)
Material: Be2Co2Mo
Method: DFT, PBE-GGA
State: optimized geometry

Cell: 6.4208 6.4208 2.5605 Å, 90.00 90.00 90.00°
Space group P4/mbm (No. 127)
Inequivalent atoms, fractional coordinates:
Be (0.1611, 0.3389, 0.0000) (multiplicity 4)
Co (0.1337, 0.6337, 0.5000) (multiplicity 4)
Mo (0.0000, 0.0000, 0.5000) (multiplicity 2)

Properties
ΔE to the lowest computed polymorph: 0.130 eV/atom
Formation energy from the elements: -0.014 eV per atom

---

| no. | calculated volume (Å³/atom) | E_tot (eV/atom) | total magnetic moment (Bohr magnetons per cell) |
| --- | --- | --- | --- |
| 1 | 47.37 | -2.805 | 2.499 |
| 2 | 35.98 | -2.335 | 0.002 |
| 3 | 30.77 | -6.001 | 0.000 |
| 4 | 28.27 | -5.115 | 18.109 |
| 5 | 17.14 | -6.869 | 1.745 |
| 6 | 10.56 | -6.513 | 0.000 |